Below is a crystal of TaNiAs2 relaxed with PBEsol, with properties calculated at the SCAN level.

total magnetic moment = 0.00 μB/cell
calculated formation energy = -0.0034 eV per atom

POSCAR file:
```
TaNiAs2
1.0
-2.619 -0.036 2.127
-2.239 -2.851 -2.805
3.965 -1.575 2.181
Ni As Ta
1 2 1
direct
0.000 0.500 0.000
0.284 0.284 0.567
0.716 0.716 0.433
0.500 0.000 0.000
```

Below is a crystal of MnOF relaxed with PBEsol, with properties calculated at the SCAN level.

formation energy (no corrections) = -2.431 eV per atom
total magnetic moment = 24.00 μB/cell

POSCAR file:
```
MnOF
1.0
-1.976 -2.338 -3.313
-1.941 -3.813 3.535
-6.663 3.602 1.168
F O Mn
6 6 6
direct
0.724 0.202 0.134
0.198 0.637 0.540
0.229 0.962 0.214
0.802 0.363 0.460
0.771 0.038 0.786
0.276 0.798 0.866
0.303 0.457 0.233
0.697 0.543 0.767
0.295 0.122 0.571
0.804 0.716 0.092
0.705 0.878 0.429
0.196 0.284 0.908
0.977 0.656 0.313
0.023 0.344 0.687
0.518 0.829 0.648
0.500 0.500 0.000
0.000 0.000 0.000
0.482 0.171 0.352
```

Below is a crystal of AlMoOs3 relaxed with PBEsol, with properties calculated at the SCAN level.

total magnetic moment = 1.18 μB/cell
calculated formation energy = 1.5087 eV per atom

POSCAR file:
```
AlMoOs3
1.0
-1.233 -3.497 -2.197
3.144 0.693 -2.866
2.678 -2.422 2.353
Os Al Mo
3 1 1
direct
0.000 0.500 0.000
0.000 0.000 0.500
0.500 0.000 0.000
0.000 0.000 0.000
0.500 0.500 0.500
```

Below is a crystal of OsSeCl3 relaxed with PBEsol, with properties calculated at the SCAN level.

formation energy (no corrections) = 1.273 eV per atom
total magnetic moment = 4.54 μB/cell

POSCAR file:
```
OsSeCl3
1.0
4.996 0.000 0.000
0.000 4.996 0.000
0.000 0.000 4.996
Cl Os Se
3 1 1
direct
0.000 0.000 0.500
0.000 0.500 0.000
0.500 0.000 0.000
0.500 0.500 0.500
0.000 0.000 0.000
```

Below is a crystal of MoPt2W relaxed with PBEsol, with properties calculated at the SCAN level.

total magnetic moment = 0.01 μB/cell
calculated formation energy = -0.3114 eV per atom

POSCAR file:
```
MoPt2W
1.0
-0.502 3.562 -1.299
-3.616 -0.844 -0.917
0.839 -0.174 4.828
Pt W Mo
2 1 1
direct
0.250 0.750 0.500
0.750 0.250 0.500
0.000 0.000 0.000
0.500 0.500 0.000
```

Below is a crystal of Ti5TlSe8 relaxed with PBEsol, with properties calculated at the SCAN level.

formation energy (no corrections) = -1.218 eV per atom
total magnetic moment = 0.02 μB/cell

POSCAR file:
```
Ti5TlSe8
1.0
3.495 0.000 0.000
0.000 9.040 0.038
-1.747 -2.283 8.949
Ti Se Tl
5 8 1
direct
0.209 0.851 0.418
0.791 0.149 0.582
0.152 0.498 0.304
0.500 0.500 0.000
0.848 0.502 0.696
0.586 0.315 0.172
0.414 0.685 0.828
0.341 0.998 0.683
0.659 0.002 0.317
0.073 0.682 0.146
0.927 0.318 0.854
0.743 0.663 0.486
0.257 0.337 0.514
0.000 0.000 0.000
```

Below is a crystal of Li7Fe5O12 relaxed with PBEsol, with properties calculated at the SCAN level.

formation energy (no corrections) = -1.888 eV per atom
total magnetic moment = 14.93 μB/cell

POSCAR file:
```
Li7Fe5O12
1.0
-0.610 4.883 -0.080
-2.618 -2.720 3.158
7.722 0.171 5.190
O Fe Li
12 5 7
direct
0.836 0.344 0.871
0.656 0.164 0.129
0.763 0.946 0.625
0.142 0.654 0.623
0.251 0.052 0.876
0.311 0.454 0.119
0.346 0.858 0.377
0.714 0.582 0.392
0.948 0.749 0.124
0.054 0.237 0.375
0.546 0.689 0.881
0.418 0.286 0.608
0.408 0.592 0.500
0.021 0.495 0.241
0.583 0.417 0.000
0.067 0.933 0.500
0.505 0.979 0.759
0.258 0.742 0.000
0.670 0.837 0.241
0.739 0.261 0.500
0.341 0.166 0.244
0.834 0.659 0.756
0.163 0.330 0.759
0.927 0.073 0.000
```

Below is a crystal of KCa2TiAg relaxed with PBEsol, with properties calculated at the SCAN level.

total magnetic moment = 4.93 μB/cell
calculated formation energy = 0.9830 eV per atom

POSCAR file:
```
KCa2TiAg
1.0
-1.550 -5.417 1.401
3.762 0.067 4.421
-4.224 2.130 3.562
Ca Ag Ti K
2 1 1 1
direct
0.500 0.000 0.000
0.000 0.500 0.000
0.500 0.500 0.500
0.000 0.000 0.000
0.000 0.000 0.500
```